(1)
K2MnIr | PBE-GGA | relaxed

a b c (Å): 12.289 12.289 4.674
angles (deg): 90.00 90.00 90.00
Space group I-42d (No. 122)
Symmetry-distinct sites (fractional):
K 0.062 0.250 0.125 x8
Mn 0.000 0.000 0.500 x4
Ir 0.000 0.000 0.000 x4

Calculated values
VASP energy ... -4.267 eV per atom
ρ ... 3.06 g/cm3
Energy above the most stable polymorph in this dataset ... 0.355 eV per atom
Total magnetization ... 1.157 μB/atom
Energy of formation from the pure elements ... 0.79 eV per atom

=====

(2)
TiGaAgIr2 | PBE-GGA | relaxed

a b c (Å): 4.877 4.877 4.428
angles (deg): 90.00 90.00 90.00
Space group P4/mmm (No. 123)
Symmetry-distinct sites (fractional):
Ti 0.000 0.000 0.000 x1
Ga 0.500 0.500 0.000 x1
Ag 0.500 0.500 0.500 x1
Ir 0.000 0.500 0.500 x2

Calculated values
VASP energy ... -4.822 eV per atom
ρ ... 9.62 g/cm3
Total magnetization ... 0.000 μB/atom
Energy of formation from the pure elements ... 1.48 eV per atom

=====

(3)
WSe5 | PBE-GGA | relaxed

a b c (Å): 3.107 3.107 13.801
angles (deg): 90.00 90.00 90.00
Space group P4/mmm (No. 123)
Symmetry-distinct sites (fractional):
W 0.000 0.000 0.000 x1
Se 0.000 0.000 0.366 x2
Se 0.500 0.500 0.113 x2
Se 0.500 0.500 0.500 x1

Calculated values
VASP energy ... -4.818 eV per atom
ρ ... 7.21 g/cm3
Energy above the most stable polymorph in this dataset ... 0.198 eV per atom
Total magnetization ... 0.000 μB/atom
Energy relative to the elements, uncorrected ... 1.5 eV per formula unit

=====

(4)
CaAgP2 | PBE-GGA | relaxed

a b c (Å): 3.559 3.559 6.103
angles (deg): 90.00 90.00 90.00
Space group P4mm (No. 99)
Symmetry-distinct sites (fractional):
Ca 0.000 0.000 0.000 x1
Ag 0.500 0.500 0.671 x1
P 0.000 0.000 0.464 x1
P 0.500 0.500 0.256 x1

Calculated values
VASP energy ... -3.927 eV per atom
ρ ... 4.51 g/cm3
Total magnetization ... 0.000 μB/atom
Energy of formation from the pure elements ... -0.01 eV per atom

=====

(5)
HoAl2Cu | PBE-GGA | relaxed

a b c (Å): 4.152 4.152 4.273
angles (deg): 90.00 90.00 90.00
Space group P4/mmm (No. 123)
Symmetry-distinct sites (fractional):
Ho 0.000 0.000 0.000 x1
Al 0.000 0.500 0.500 x2
Cu 0.500 0.500 0.000 x1

Calculated values
VASP energy ... -4.318 eV per atom
ρ ... 6.37 g/cm3
Total magnetization ... 0.000 μB/atom
Energy of formation from the pure elements ... -0.28 eV per atom

=====

(6)
Na3ZnIn3O8 | PBE-GGA | relaxed

a b c (Å): 6.4809 6.4809 16.5850
angles (deg): 90.00 90.00 120.00
Space group R-3m (No. 166, hexagonal axes)
Symmetry-distinct sites (fractional):
Na 0.0000 0.5000 0.0000 x9
Zn 0.0000 0.0000 0.5000 x3
In 0.0000 0.5000 0.5000 x9
O 0.0000 0.0000 0.2379 x6
O 0.0191 0.5096 0.2337 x18

Calculated values
VASP energy ... -4.909 eV per atom
ρ ... 5.01 g/cm3
Total magnetization ... 0.140 μB/atom
Energy relative to the elements, uncorrected ... -20.5 eV per formula unit

=====

(7)
SiSbN3 | PBE-GGA | relaxed

a b c (Å): 4.036 4.036 4.036
angles (deg): 90.00 90.00 90.00
Space group Pm-3m (No. 221)
Symmetry-distinct sites (fractional):
Si 0.000 0.000 0.000 x1
Sb 0.500 0.500 0.500 x1
N 0.000 0.500 0.500 x3

Calculated values
VASP energy ... -5.228 eV per atom
ρ ... 4.85 g/cm3
Total magnetization ... 0.000 μB/atom
Energy relative to the elements, uncorrected ... 8.4 eV per formula unit

=====

(8)
MnAu2Se | PBE-GGA | relaxed

a b c (Å): 7.631 7.631 5.331
angles (deg): 90.00 90.00 90.00
Space group I-42d (No. 122)
Symmetry-distinct sites (fractional):
Mn 0.000 0.000 0.000 x4
Au 0.247 0.750 0.125 x8
Se 0.000 0.000 0.500 x4

Calculated values
VASP energy ... -4.656 eV per atom
ρ ... 11.29 g/cm3
Total magnetization ... 0.894 μB/atom
Energy relative to the elements, uncorrected ... 0.6 eV per formula unit